Record 1
This record from the Alexandria database describes a relaxed structure of Tb2InGa. The functional is PBE-GGA.

The value obtained for the energy above the lowest structure with this stoichiometry is 0.539 eV per atom. The value obtained for the formation enthalpy at 0 K is 13 meV/atom. As for the density: 7.06 g/cm3. For the volume, the calculation gives 29.530 Å³/atom.

The structure belongs to space group R-3m (No. 166, hexagonal axes); the cell edges are 3.5246, 3.5246 and 32.9375 Å and the angles 90.00°, 90.00° and 120.00°. The distinct sites, in fractional coordinates, are Tb at (0.0000, 0.0000, 0.0909), In at (0.0000, 0.0000, 0.5000) and Ga at (0.0000, 0.0000, 0.0000).



Record 2
This record from the Alexandria database describes a relaxed structure of ReW4. The functional is PBE-GGA.

The value obtained for the energy above the lowest structure with this stoichiometry is 2.275 eV per atom. The value obtained for the formation enthalpy at 0 K is 2305 meV/atom. As for the density: 14.85 g/cm3. For the volume, the calculation gives 20.611 Å³/atom.

The structure belongs to space group Pm-3m (No. 221); the cell edges are 4.688, 4.688 and 4.688 Å and the angles 90.00°, 90.00° and 90.00°. The distinct sites, in fractional coordinates, are Re at (0.000, 0.000, 0.000), W at (0.000, 0.000, 0.500) and W at (0.500, 0.500, 0.500).



Record 3
This record from the Alexandria database describes a relaxed structure of CsRb3As2S6. The functional is PBE-GGA.

As for the density: 2.47 g/cm3. For the volume, the calculation gives 41.066 Å³/atom. The formation energy without anion corrections is -0.65 eV per atom.

The structure belongs to space group P-3m1 (No. 164); the cell edges are 7.9453, 7.9453 and 9.0140 Å and the angles 90.00°, 90.00° and 120.00°. The distinct sites, in fractional coordinates, are Cs at (0.0000, 0.0000, 0.0000), Rb at (0.0000, 0.0000, 0.5000), Rb at (0.3333, 0.6667, 0.1359), As at (0.3333, 0.6667, 0.6920) and S at (0.1829, 0.3659, 0.7683).



Record 4
This record from the Alexandria database describes a relaxed structure of CsKTlS2. The functional is PBE-GGA.

As for the density: 3.27 g/cm3. For the volume, the calculation gives 44.774 Å³/atom. The formation energy without anion corrections is -0.59 eV per atom.

The structure belongs to space group P2/c (No. 13); the cell edges are 8.201, 6.702 and 8.261 Å and the angles 90.00°, 99.57° and 90.00°. The distinct sites, in fractional coordinates, are Cs at (0.000, 0.149, 0.250), K at (0.500, 0.492, 0.750), Tl at (0.500, 0.000, 0.000) and S at (0.266, 0.264, 0.964).



Record 5
This record from the Alexandria database describes a relaxed structure of ErHO2. The functional is PBE-GGA.

The final energy is -7.071 eV per atom. As for the density: 6.91 g/cm3. For the volume, the calculation gives 12.039 Å³/atom.

The structure belongs to space group R-3m (No. 166, hexagonal axes); the cell edges are 3.4838, 3.4838 and 13.7441 Å and the angles 90.00°, 90.00° and 120.00°. The distinct sites, in fractional coordinates, are Er at (0.0000, 0.0000, 0.0000), H at (0.0000, 0.0000, 0.5000) and O at (0.0000, 0.0000, 0.4111).



Record 6
This record from the Alexandria database describes a relaxed structure of CuRe2Si. The functional is PBE-GGA.

As for the density: 14.21 g/cm3. For the volume, the calculation gives 13.559 Å³/atom. The formation energy without anion corrections is 0.08 eV per atom.

The structure belongs to space group Pm (No. 6); the cell edges are 2.795, 4.003 and 5.044 Å and the angles 90.00°, 106.07° and 90.00°. The distinct sites, in fractional coordinates, are Cu at (0.000, 0.000, 0.000), Re at (0.261, 0.000, 0.520), Re at (0.627, 0.500, 0.254) and Si at (0.883, 0.500, 0.763).



Record 7
This record from the Alexandria database describes a relaxed structure of Hf2MoH3. The functional is PBE-GGA.

The final energy is -6.969 eV per atom. As for the density: 11.96 g/cm3. For the volume, the calculation gives 10.550 Å³/atom.

The structure belongs to space group C2/c (No. 15); the cell edges are 9.958, 4.246 and 6.531 Å and the angles 90.00°, 113.52° and 90.00°. The distinct sites, in fractional coordinates, are Hf at (0.164, 0.000, 0.078), Mo at (0.000, 0.500, 0.250), H at (0.000, 0.001, 0.250) and H at (0.139, 0.500, 0.085).



Record 8
This record from the Alexandria database describes a relaxed structure of ErAu5. The functional is PBE-GGA.

The value obtained for the formation enthalpy at 0 K is -441 meV/atom. As for the density: 16.48 g/cm3. For the volume, the calculation gives 19.351 Å³/atom.

The structure belongs to space group C2/m (No. 12); the cell edges are 9.516, 4.171 and 6.131 Å and the angles 90.00°, 107.40° and 90.00°. The distinct sites, in fractional coordinates, are Er at (0.000, 0.000, 0.000), Au at (0.000, 0.000, 0.500), Au at (0.164, 0.500, 0.337) and Au at (0.167, 0.500, 0.830).